(1)
{
  "formula": "PuCuAsO",
  "functional": "PBE",
  "state": "relaxed",
  "raw_formation_energy_ev_per_atom": -1.543,
  "cell": [[3.893, 0.000, 0.000], [0.000, 3.893, 0.000], [0.000, 0.000, 8.406]],
  "species": ["Pu", "Pu", "Cu", "Cu", "As", "As", "O", "O"],
  "fractional_positions": [[0.250, 0.250, 0.146], [0.750, 0.750, 0.854], [0.250, 0.750, 0.500], [0.750, 0.250, 0.500], [0.250, 0.250, 0.679], [0.750, 0.750, 0.321], [0.250, 0.750, 0.000], [0.750, 0.250, 0.000]]
}

=====

(2)
{
  "formula": "HoB6Mo2",
  "functional": "PBE",
  "state": "relaxed",
  "formation_enthalpy_0k_mev_per_atom": -436,
  "e_above_lowest_polymorph_mev_per_atom": 49.7,
  "cell": [[5.364, 0.000, 0.000], [-2.682, 4.645, 0.000], [0.000, 0.000, 3.489]],
  "species": ["Ho", "B", "B", "B", "B", "B", "B", "Mo", "Mo"],
  "fractional_positions": [[0.000, 0.000, 0.000], [0.000, 0.340, 0.500], [0.000, 0.660, 0.500], [0.340, 0.000, 0.500], [0.340, 0.340, 0.500], [0.660, 0.000, 0.500], [0.660, 0.660, 0.500], [0.333, 0.667, 0.000], [0.667, 0.333, 0.000]]
}

=====

(3)
{
  "formula": "Ta2MoPbN",
  "functional": "PBE",
  "state": "relaxed",
  "raw_formation_energy_ev_per_atom": 2.305,
  "cell": [[4.789, 0.000, 0.000], [0.000, 4.789, 0.000], [0.000, 0.000, 5.279]],
  "species": ["Ta", "Ta", "Mo", "Pb", "N"],
  "fractional_positions": [[0.000, 0.500, 0.000], [0.500, 0.000, 0.000], [0.000, 0.000, 0.000], [0.000, 0.000, 0.500], [0.500, 0.500, 0.500]]
}

=====

(4)
{
  "formula": "SrY3Re",
  "functional": "PBE",
  "state": "relaxed",
  "formation_enthalpy_0k_mev_per_atom": 2131,
  "e_above_lowest_polymorph_mev_per_atom": 1961.4,
  "cell": [[5.261, 0.000, 0.000], [0.000, 5.261, 0.000], [0.000, 0.000, 5.261]],
  "species": ["Sr", "Y", "Y", "Y", "Re"],
  "fractional_positions": [[0.000, 0.000, 0.000], [0.000, 0.000, 0.500], [0.000, 0.500, 0.000], [0.500, 0.000, 0.000], [0.500, 0.500, 0.500]]
}

=====

(5)
{
  "formula": "P2Rh3Pb2",
  "functional": "PBE",
  "state": "relaxed",
  "formation_enthalpy_0k_mev_per_atom": -167,
  "cell": [[6.512, 0.000, 0.000], [0.000, 12.323, 0.000], [0.000, 0.000, 3.186]],
  "species": ["P", "P", "P", "P", "Rh", "Rh", "Rh", "Rh", "Rh", "Rh", "Pb", "Pb", "Pb", "Pb"],
  "fractional_positions": [[0.126, 0.145, 0.000], [0.374, 0.645, 0.000], [0.626, 0.355, 0.000], [0.874, 0.855, 0.000], [0.000, 0.000, 0.500], [0.081, 0.767, 0.500], [0.419, 0.267, 0.500], [0.500, 0.500, 0.500], [0.581, 0.733, 0.500], [0.919, 0.233, 0.500], [0.145, 0.401, 0.000], [0.355, 0.901, 0.000], [0.645, 0.099, 0.000], [0.855, 0.599, 0.000]]
}

=====

(6)
{
  "formula": "PmGd2Ag",
  "functional": "PBE",
  "state": "relaxed",
  "formation_enthalpy_0k_mev_per_atom": 52,
  "e_above_lowest_polymorph_mev_per_atom": 180.1,
  "cell": [[0.000, 3.817, 3.817], [3.817, 0.000, 3.817], [3.817, 3.817, 0.000]],
  "species": ["Pm", "Gd", "Gd", "Ag"],
  "fractional_positions": [[0.000, 0.000, 0.000], [0.250, 0.250, 0.250], [0.750, 0.750, 0.750], [0.500, 0.500, 0.500]]
}

=====

(7)
{
  "formula": "AsSeOF2",
  "functional": "PBE",
  "state": "relaxed",
  "raw_formation_energy_ev_per_atom": -0.626,
  "e_above_lowest_polymorph_mev_per_atom": 0.0,
  "cell": [[4.417, 0.000, 0.000], [0.000, 4.417, 0.000], [0.000, 0.000, 3.891]],
  "species": ["As", "Se", "O", "F", "F"],
  "fractional_positions": [[0.000, 0.000, 0.000], [0.500, 0.500, 0.500], [0.000, 0.000, 0.500], [0.000, 0.500, 0.000], [0.500, 0.000, 0.000]]
}

=====

(8)
{
  "formula": "NaMgAl5P4H10O24",
  "functional": "PBE",
  "state": "relaxed",
  "energy_ev_per_atom": -6.49,
  "cell": [[12.633, -2.544, 0.000], [12.633, 2.544, 0.000], [-4.888, 0.000, 12.723]],
  "species": ["Na", "Na", "Mg", "Mg", "Al", "Al", "Al", "Al", "Al", "Al", "Al", "Al", "Al", "Al", "P", "P", "P", "P", "P", "P", "P", "P", "H", "H", "H", "H", "H", "H", "H", "H", "H", "H", "H", "H", "H", "H", "H", "H", "H", "H", "H", "H", "O", "O", "O", "O", "O", "O", "O", "O", "O", "O", "O", "O", "O", "O", "O", "O", "O", "O", "O", "O", "O", "O", "O", "O", "O", "O", "O", "O", "O", "O", "O", "O", "O", "O", "O", "O", "O", "O", "O", "O", "O", "O", "O", "O", "O", "O", "O", "O"],
  "fractional_positions": [[0.145, 0.855, 0.750], [0.855, 0.145, 0.250], [0.000, 0.500, 0.500], [0.500, 0.000, 0.000], [0.000, 0.000, 0.000], [0.000, 0.000, 0.500], [0.079, 0.638, 0.648], [0.134, 0.170, 0.110], [0.170, 0.134, 0.610], [0.362, 0.921, 0.852], [0.638, 0.079, 0.148], [0.830, 0.866, 0.390], [0.866, 0.830, 0.890], [0.921, 0.362, 0.352], [0.053, 0.515, 0.172], [0.197, 0.641, 0.103], [0.359, 0.803, 0.397], [0.485, 0.947, 0.328], [0.515, 0.053, 0.672], [0.641, 0.197, 0.603], [0.803, 0.359, 0.897], [0.947, 0.485, 0.828], [0.157, 0.692, 0.374], [0.218, 0.653, 0.857], [0.236, 0.448, 0.474], [0.278, 0.432, 0.802], [0.308, 0.843, 0.126], [0.347, 0.782, 0.643], [0.432, 0.278, 0.302], [0.448, 0.236, 0.974], [0.454, 0.537, 0.905], [0.463, 0.546, 0.595], [0.537, 0.454, 0.405], [0.546, 0.463, 0.095], [0.552, 0.764, 0.026], [0.568, 0.722, 0.698], [0.653, 0.218, 0.357], [0.692, 0.157, 0.874], [0.722, 0.568, 0.198], [0.764, 0.552, 0.526], [0.782, 0.347, 0.143], [0.843, 0.308, 0.626], [0.035, 0.411, 0.161], [0.036, 0.147, 0.829], [0.046, 0.616, 0.490], [0.053, 0.797, 0.434], [0.083, 0.568, 0.288], [0.121, 0.621, 0.794], [0.147, 0.036, 0.329], [0.155, 0.592, 0.992], [0.200, 0.217, 0.882], [0.203, 0.947, 0.066], [0.210, 0.748, 0.096], [0.217, 0.200, 0.382], [0.252, 0.790, 0.404], [0.256, 0.702, 0.896], [0.298, 0.744, 0.604], [0.299, 0.306, 0.618], [0.306, 0.299, 0.118], [0.374, 0.464, 0.657], [0.379, 0.879, 0.706], [0.384, 0.954, 0.010], [0.408, 0.845, 0.508], [0.411, 0.035, 0.661], [0.432, 0.917, 0.212], [0.464, 0.374, 0.157], [0.536, 0.626, 0.843], [0.568, 0.083, 0.788], [0.589, 0.965, 0.339], [0.592, 0.155, 0.492], [0.616, 0.046, 0.990], [0.621, 0.121, 0.294], [0.626, 0.536, 0.343], [0.694, 0.701, 0.882], [0.701, 0.694, 0.382], [0.702, 0.256, 0.396], [0.744, 0.298, 0.104], [0.748, 0.210, 0.596], [0.783, 0.800, 0.618], [0.790, 0.252, 0.904], [0.797, 0.053, 0.934], [0.800, 0.783, 0.118], [0.845, 0.408, 0.008], [0.853, 0.964, 0.671], [0.879, 0.379, 0.206], [0.917, 0.432, 0.712], [0.947, 0.203, 0.566], [0.954, 0.384, 0.510], [0.964, 0.853, 0.171], [0.965, 0.589, 0.839]]
}

=====

Number 1: size of the total moment 8.569 Bohr magnetons per cell. Number 2: size of the total moment 0.000 Bohr magnetons per cell. Number 3: size of the total moment 0.001 Bohr magnetons per cell. Number 4: size of the total moment 0.001 Bohr magnetons per cell. Number 5: size of the total moment 0.000 Bohr magnetons per cell. Number 6: size of the total moment 16.520 Bohr magnetons per cell. Number 7: size of the total moment 2.800 Bohr magnetons per cell. Number 8: size of the total moment 0.000 Bohr magnetons per cell.